Record 1
The following is a PBE-GGA calculation of a relaxed KRb2Au7 crystal, from OQMD.

a b c (Å): 5.647 13.578 7.424
angles (deg): 90.00 90.00 90.00
Space group Cmmm (No. 65)
Inequivalent atoms, fractional coordinates:
K  0.000  0.000  0.000
Rb  0.000  0.162  0.500
Au  0.000  0.393  0.195
Au  0.000  0.500  0.500
Au  0.250  0.250  0.000

## Properties
The calculation puts the density at 9.3 Mg/m³. The value obtained for the total DFT energy (no corrections) is -2.881 eV per atom.



Record 2
The following is a PBE-GGA calculation of a relaxed WSe2 crystal, from OQMD.

a b c (Å): 3.313 23.769 5.739
angles (deg): 90.00 90.00 90.00
Space group Fmm2 (No. 42)
Inequivalent atoms, fractional coordinates:
W  0.000  0.000  0.000
Se  0.000  0.071  0.333

## Properties
The calculation puts the density at 5.0 Mg/m³. The total magnetic moment is 0.00 Bohr magnetons per cell. The value obtained for the total DFT energy (no corrections) is -7.204 eV per atom.



Record 3
The following is a PBE-GGA calculation of a relaxed AcHo3S6 crystal, from OQMD.

a b c (Å): 11.145 4.049 11.437
angles (deg): 90.00 108.90 90.00
Space group P2_1/m (No. 11)
Inequivalent atoms, fractional coordinates:
Ac  0.055  0.250  0.198
Ho  0.162  0.250  0.590
Ho  0.323  0.750  0.999
Ho  0.452  0.250  0.334
S  0.083  0.750  0.412
S  0.126  0.250  0.963
S  0.202  0.750  0.748
S  0.278  0.750  0.232
S  0.391  0.250  0.552
S  0.478  0.250  0.110

## Properties
The calculation puts the density at 6.2 Mg/m³. The total magnetic moment is 0.00 Bohr magnetons per cell. The value obtained for the total DFT energy (no corrections) is -6.389 eV per atom.



Record 4
The following is a PBE-GGA calculation of a relaxed Sc4CoPC2 crystal, from OQMD.

a b c (Å): 3.3098 3.3098 12.9174
angles (deg): 90.00 90.00 120.00
Space group P-6m2 (No. 187)
Inequivalent atoms, fractional coordinates:
Sc  0.0000  0.0000  0.1525
Sc  0.6667  0.3333  0.3464
Co  0.0000  0.0000  0.5000
P  0.6667  0.3333  0.0000
C  0.3333  0.6667  0.2496

## Properties
The calculation puts the density at 4.0 Mg/m³. The total magnetic moment is 0.63 Bohr magnetons per cell. The value obtained for the total DFT energy (no corrections) is -7.516 eV per atom.



Record 5
The following is a PBE-GGA calculation of a relaxed LuBeCuSi crystal, from OQMD.

a b c (Å): 6.215 6.215 6.215
angles (deg): 90.00 90.00 90.00
Space group F-43m (No. 216)
Inequivalent atoms, fractional coordinates:
Lu  0.000  0.000  0.000
Be  0.250  0.250  0.750
Cu  0.000  0.000  0.500
Si  0.250  0.250  0.250

## Properties
Its energy above the most stable polymorph in this dataset is 0.044 eV per atom. The calculation puts the density at 7.6 Mg/m³. The total magnetic moment is 0.00 Bohr magnetons per cell.



Record 6
The following is a PBE-GGA calculation of a relaxed Tb3Co2Ge4 crystal, from OQMD.

a b c (Å): 10.680 4.166 8.044
angles (deg): 90.00 107.83 90.00
Space group C2/m (No. 12)
Inequivalent atoms, fractional coordinates:
Tb  0.000  0.000  0.000
Tb  0.123  0.500  0.692
Co  0.192  0.500  0.371
Ge  0.099  0.000  0.400
Ge  0.210  0.500  0.081

## Properties
The calculation puts the density at 8.6 Mg/m³. The total magnetic moment is 0.03 Bohr magnetons per cell. The value obtained for the total DFT energy (no corrections) is -5.897 eV per atom.



Record 7
The following is a PBE-GGA calculation of a relaxed Hf4Sc2Au3N3 crystal, from OQMD.

a b c (Å): 9.727 5.618 14.400
angles (deg): 90.00 103.08 90.00
Space group C2/c (No. 15)
Inequivalent atoms, fractional coordinates:
Hf  0.112  0.087  0.087
Hf  0.223  0.082  0.413
Sc  0.050  0.418  0.905
Au  0.000  0.060  0.750
Au  0.178  0.406  0.251
N  0.084  0.247  0.500
N  0.250  0.250  0.000

## Properties
The calculation puts the density at 12.5 Mg/m³. The total magnetic moment is 0.04 Bohr magnetons per cell. The value obtained for the total DFT energy (no corrections) is -8.410 eV per atom.



Record 8
The following is a PBE-GGA calculation of a relaxed LaTmCu2As4 crystal, from OQMD.

a b c (Å): 3.953 3.953 10.052
angles (deg): 90.00 90.00 90.00
Space group P4mm (No. 99)
Inequivalent atoms, fractional coordinates:
La  0.000  0.000  0.000
Tm  0.500  0.500  0.476
Cu  0.000  0.500  0.727
As  0.000  0.000  0.572
As  0.000  0.500  0.249
As  0.500  0.500  0.880

## Properties
The calculation puts the density at 7.8 Mg/m³. The total magnetic moment is 0.00 Bohr magnetons per cell. The value obtained for the total DFT energy (no corrections) is -5.260 eV per atom.